[1]
DFT (PBE) results for crystalline CsAlPPt2 at its relaxed geometry.

Values from the calculation:
Total moment   1.717 μB per formula unit
Formation energy   2176 meV per atom
Space group   P4/mmm
E   -2.24 eV/atom

```
CsAlPPt2
1.0
-1.4235 -4.7171 -1.6648
0.5442 -2.1860 5.7283
-4.9811 1.1776 0.9226
Pt P Al Cs
2 1 1 1
direct
0.5000 0.0000 0.0000
0.0000 0.0000 0.5000
0.5000 0.5000 0.5000
0.0000 0.5000 0.0000
0.0000 0.0000 0.0000
```

[2]
DFT (PBE) results for crystalline CsRb2AlP2 at its relaxed geometry.

Values from the calculation:
Total moment   0.000 μB per formula unit
Formation energy   -411 meV per atom
Space group   Ibam
E   -3.30 eV/atom

```
CsRb2AlP2
1.0
-4.2645 -0.8717 -5.1817
-2.8281 -7.1106 3.5237
-1.5343 7.7689 4.3747
Rb Al Cs P
4 2 2 4
direct
0.3180 0.1261 0.6361
0.1820 0.4900 0.3639
0.6820 0.8739 0.3639
0.8180 0.5100 0.6361
0.2500 0.5000 0.0000
0.7500 0.5000 0.0000
0.7500 0.0000 0.0000
0.2500 0.0000 0.0000
0.5837 0.4233 0.1675
0.4163 0.5767 0.8325
0.0837 0.7442 0.1675
0.9163 0.2558 0.8325
```